Ac3La8Sc: optimized geometry, GGA-PBE.

Total magnetization   0.0 μB per formula unit
Total energy   -4.40 eV/atom
Formation enthalpy at 0 K   435 meV/atom

Cell: 9.1841 9.1841 11.8305 Å, 90.00 90.00 90.00°
Closest atoms and distances in Å follow each position.
Space group I-42m (No. 121)
Inequivalent atoms, fractional coordinates:
Ac  0.0000  0.0000  0.0000 [2 per cell]  8 La 3.43-3.50
Ac  0.0000  0.5000  0.2500 [4 per cell]  4 La 3.65
La  0.1214  0.1214  0.7429 [8 per cell]  3 La 3.15-3.52, 1 Sc 3.28, 1 Ac 3.43
La  0.2320  0.2320  0.4713 [8 per cell]  1 Sc 3.03, 1 La 3.30
Sc  0.0000  0.0000  0.5000 [2 per cell]  8 La 3.03-3.28